# CoCuPt3

CoCuPt3 after structural relaxation (PBE, the Alexandria database).

Summary:
**Total magnetic moment**: 5.553 Bohr magnetons per cell
**Energy relative to the lowest polymorph listed for this composition**: 0 meV/atom
**Energy of formation from the pure elements**: 1 meV per atom

Lattice parameters (Å, degrees): 3.9607 4.6799 8.8274 80.18 90.00 115.03
Fractional coordinates of all 10 atoms:
Pt 0.7060 0.4120 0.7561
Pt 0.1391 0.2781 0.5516
Pt 0.8609 0.7219 0.4484
Co 0.2780 0.5559 0.9306
Pt 0.2940 0.5880 0.2439
Co 0.7220 0.4441 0.0694
Cu 0.4258 0.8515 0.6468
Pt 0.9861 0.9721 0.8554
Cu 0.5742 0.1485 0.3532
Pt 0.0139 0.0279 0.1446